[1]
# PBE AcTcSn2, optimized geometry
# magnetic moment = 0.0 μB/cell
# energy of formation from the pure elements = -0.50 eV per formula unit
# total energy = -5.744 eV/atom
# V = 24.1 Å³/atom
data_AcTcSn2
_cell_length_a 3.4894
_cell_length_b 3.4894
_cell_length_c 7.9300
_cell_angle_alpha 90.00
_cell_angle_beta 90.00
_cell_angle_gamma 90.00
_space_group_name_H-M_alt 'P 4/m m m'
_space_group_IT_number 123
_space_group_name_Hall '-P 4 2'
loop_
_atom_site_label
_atom_site_fract_x
_atom_site_fract_y
_atom_site_fract_z
Ac1 0.0000 0.0000 0.0000
Tc1 0.0000 0.0000 0.5000
Sn1 0.5000 0.5000 0.3098

---

[2]
# PBE AcTcSn, optimized geometry
# magnetic moment = 0.0 μB/cell
# energy of formation from the pure elements = -0.05 eV per formula unit
# total energy = -6.175 eV/atom
# V = 25.1 Å³/atom
data_AcTcSn
_cell_length_a 3.5517
_cell_length_b 3.5517
_cell_length_c 11.9386
_cell_angle_alpha 90.00
_cell_angle_beta 90.00
_cell_angle_gamma 90.00
_space_group_name_H-M_alt 'I 4 m m'
_space_group_IT_number 107
_space_group_name_Hall 'I 4 -2'
loop_
_atom_site_label
_atom_site_fract_x
_atom_site_fract_y
_atom_site_fract_z
Ac1 0.0000 0.0000 0.0000
Tc1 0.0000 0.0000 0.6763
Sn1 0.0000 0.0000 0.2790

---

[3]
# PBE Ac2SnTe4, optimized geometry
# magnetic moment = 0.0 μB/cell
# total energy = -4.676 eV/atom
# V = 42.2 Å³/atom
# uncorrected formation energy = -1.135 eV/atom
data_Ac2SnTe4
_cell_length_a 16.5776
_cell_length_b 4.7527
_cell_length_c 8.4710
_cell_angle_alpha 90.00
_cell_angle_beta 117.64
_cell_angle_gamma 90.00
_space_group_name_H-M_alt 'C 1 2/m 1'
_space_group_IT_number 12
_space_group_name_Hall '-C 2y'
loop_
_atom_site_label
_atom_site_fract_x
_atom_site_fract_y
_atom_site_fract_z
Ac1 0.2226 0.0000 0.2134
Sn1 0.0000 0.5000 0.5000
Te1 0.1169 0.5000 0.9248
Te2 0.1366 0.0000 0.5015

---

[4]
# PBE Ac4SnTe3, optimized geometry
# magnetic moment = 0.0 μB/cell
# total energy = -5.094 eV/atom
# V = 38.3 Å³/atom
# uncorrected formation energy = -1.362 eV/atom
data_Ac4SnTe3
_cell_length_a 6.7333
_cell_length_b 6.7333
_cell_length_c 13.5154
_cell_angle_alpha 90.00
_cell_angle_beta 90.00
_cell_angle_gamma 90.00
_space_group_name_H-M_alt 'I 4/m m m'
_space_group_IT_number 139
_space_group_name_Hall '-I 4 2'
loop_
_atom_site_label
_atom_site_fract_x
_atom_site_fract_y
_atom_site_fract_z
Ac1 0.0000 0.0000 0.2449
Ac2 0.0000 0.5000 0.0000
Sn1 0.0000 0.0000 0.0000
Te1 0.0000 0.0000 0.5000
Te2 0.0000 0.5000 0.2500

---

[5]
# PBE Ac2SnTe, optimized geometry
# magnetic moment = 0.0 μB/cell
# total energy = -4.980 eV/atom
# V = 39.4 Å³/atom
# uncorrected formation energy = -1.139 eV/atom
data_Ac2SnTe
_cell_length_a 4.8207
_cell_length_b 4.8207
_cell_length_c 23.5170
_cell_angle_alpha 90.00
_cell_angle_beta 90.00
_cell_angle_gamma 120.00
_space_group_name_H-M_alt 'R -3 m'
_space_group_IT_number 166
_space_group_name_Hall '-R 3 2"'
loop_
_atom_site_label
_atom_site_fract_x
_atom_site_fract_y
_atom_site_fract_z
Ac1 0.0000 0.0000 0.2456
Sn1 0.0000 0.0000 0.5000
Te1 0.0000 0.0000 0.0000

---

[6]
# PBE Ac2Sn2Te5, optimized geometry
# magnetic moment = 0.0 μB/cell
# total energy = -4.390 eV/atom
# V = 40.0 Å³/atom
# uncorrected formation energy = -0.842 eV/atom
data_Ac2Sn2Te5
_cell_length_a 20.1505
_cell_length_b 8.3607
_cell_length_c 8.5394
_cell_angle_alpha 90.00
_cell_angle_beta 90.00
_cell_angle_gamma 90.00
_space_group_name_H-M_alt 'I m a 2'
_space_group_IT_number 46
_space_group_name_Hall 'I 2 -2a'
loop_
_atom_site_label
_atom_site_fract_x
_atom_site_fract_y
_atom_site_fract_z
Ac1 0.1073 0.0117 0.0000
Sn1 0.0000 0.0000 0.4529
Sn2 0.2500 0.0004 0.5724
Te1 0.0333 0.7311 0.2225
Te2 0.1468 0.1352 0.3602
Te3 0.2500 0.6653 0.4536

---

[7]
# PBE Ac8Sn3Te4, optimized geometry
# magnetic moment = 0.0 μB/cell
# total energy = -4.906 eV/atom
# V = 40.5 Å³/atom
# uncorrected formation energy = -1.077 eV/atom
data_Ac8Sn3Te4
_cell_length_a 13.3961
_cell_length_b 13.4538
_cell_length_c 9.4547
_cell_angle_alpha 90.00
_cell_angle_beta 134.58
_cell_angle_gamma 90.00
_space_group_name_H-M_alt 'C 1 2/m 1'
_space_group_IT_number 12
_space_group_name_Hall '-C 2y'
loop_
_atom_site_label
_atom_site_fract_x
_atom_site_fract_y
_atom_site_fract_z
Ac1 0.0000 0.2469 0.0000
Ac2 0.0000 0.2473 0.5000
Ac3 0.2406 0.0000 0.4930
Ac4 0.2425 0.0000 0.9954
Sn1 0.0000 0.0000 0.0000
Sn2 0.2500 0.2500 0.5000
Te1 0.0000 0.5000 0.0000
Te2 0.0000 0.5000 0.5000
Te3 0.2500 0.2500 0.0000

---

[8]
# PBE Ac6Sn5Te, optimized geometry
# magnetic moment = 0.0 μB/cell
# total energy = -4.714 eV/atom
# V = 39.4 Å³/atom
# uncorrected formation energy = -0.730 eV/atom
data_Ac6Sn5Te
_cell_length_a 8.2894
_cell_length_b 14.4978
_cell_length_c 8.3615
_cell_angle_alpha 90.00
_cell_angle_beta 109.74
_cell_angle_gamma 90.00
_space_group_name_H-M_alt 'C 1 2/m 1'
_space_group_IT_number 12
_space_group_name_Hall '-C 2y'
loop_
_atom_site_label
_atom_site_fract_x
_atom_site_fract_y
_atom_site_fract_z
Ac1 0.2500 0.0000 0.2466
Ac2 0.2496 0.1659 0.7480
Sn1 0.0000 0.0000 0.5000
Sn2 0.0000 0.1674 0.0000
Sn3 0.0000 0.3365 0.5000
Te1 0.0000 0.5000 0.0000

---

Copy entry 8 word for word.
# PBE Ac6Sn5Te, optimized geometry
# magnetic moment = 0.0 μB/cell
# total energy = -4.714 eV/atom
# V = 39.4 Å³/atom
# uncorrected formation energy = -0.730 eV/atom
data_Ac6Sn5Te
_cell_length_a 8.2894
_cell_length_b 14.4978
_cell_length_c 8.3615
_cell_angle_alpha 90.00
_cell_angle_beta 109.74
_cell_angle_gamma 90.00
_space_group_name_H-M_alt 'C 1 2/m 1'
_space_group_IT_number 12
_space_group_name_Hall '-C 2y'
loop_
_atom_site_label
_atom_site_fract_x
_atom_site_fract_y
_atom_site_fract_z
Ac1 0.2500 0.0000 0.2466
Ac2 0.2496 0.1659 0.7480
Sn1 0.0000 0.0000 0.5000
Sn2 0.0000 0.1674 0.0000
Sn3 0.0000 0.3365 0.5000
Te1 0.0000 0.5000 0.0000

---

What is the formula in the eighth record? Ac6Sn5Te